Material: MnIrPt2
Method: DFT, meta-GGA SCAN
State: PBEsol geometry

Properties
Calculated volume = 14.60 Å³/atom
Formation enthalpy at 0 K = -0.095 eV per atom
Total DFT energy (no corrections) = -4.22840 Ry/atom

Cell lengths 4.355, 4.355, 4.355 Å; angles 60.00, 60.00, 60.00 degrees
Element x y z (fractional)
1 Mn 0.000 0.000 0.000
2 Ir 0.500 0.500 0.500
3 Pt 0.250 0.250 0.250
4 Pt 0.750 0.750 0.750

=====

Material: Be2InSb
Method: DFT, meta-GGA SCAN
State: PBEsol geometry

Properties
Calculated volume = 17.56 Å³/atom
Energy relative to the elements, uncorrected = 0.650 eV per atom
Excess energy over the best structure of this formula in the dataset = 202.5 meV per atom
Total DFT energy (no corrections) = -1.41034 Ry/atom

Cell lengths 4.847, 4.847, 4.847 Å; angles 127.05, 127.05, 78.17 degrees
Element x y z (fractional)
1 Be 0.250 0.750 0.500
2 Be 0.750 0.250 0.500
3 In 0.000 0.000 0.000
4 Sb 0.500 0.500 0.000

=====

Material: SrAlSn2Cl
Method: DFT, meta-GGA SCAN
State: PBEsol geometry

Properties
Calculated volume = 32.82 Å³/atom
Energy relative to the elements, uncorrected = -0.285 eV per atom
Total DFT energy (no corrections) = -1.63566 Ry/atom

Cell lengths 5.014, 5.014, 6.527 Å; angles 90.00, 90.00, 90.00 degrees
Element x y z (fractional)
1 Sr 0.000 0.000 0.000
2 Al 0.000 0.000 0.500
3 Sn 0.000 0.500 0.500
4 Sn 0.500 0.000 0.500
5 Cl 0.500 0.500 0.000

=====

> Among the records above, which one has the highest calculated volume?

SrAlSn2Cl

=====

> What is the formula in the first record?

MnIrPt2